This record from the Alexandria database describes crystalline MnBPdAuI at its relaxed geometry. The functional is GGA-PBE.

Unit cell a=4.6154 b=4.6154 c=8.3758 alpha=116.19 beta=116.19 gamma=41.64
With the nearest neighbours (Å) after each atom.
Fractional positions:
Mn 0.0000 0.0000 0.0000  2 B 2.18
B 0.6327 0.6327 0.1870  2 Pd 2.12, 2 Mn 2.18, 1 Au 2.33
Pd 0.1720 0.1720 0.3628  2 B 2.12
Au 0.3543 0.3543 0.1679  3 B 2.33-2.58
I 0.4261 0.4261 0.7167  2 Mn 2.70, 1 Pd 2.73

Properties
The magnetization is 3.3 μB/f.u. The energy above the most stable polymorph in this dataset comes out at 62.6 meV per atom. Its formation energy without anion corrections is 0.818 eV/f.u. The value obtained for the density of states at the Fermi level is 0.3087 states/eV/atom.